(1)
The following is a DFT calculation (GGA-PBE) of a relaxed PrScSn crystal.

```
data_PrScSn
_symmetry_space_group_name_H-M 'P 4/n m m'
_symmetry_Int_Tables_number 129
_cell_length_a 4.542
_cell_length_b 4.542
_cell_length_c 8.335
_cell_angle_alpha 90.00
_cell_angle_beta 90.00
_cell_angle_gamma 90.00
loop_
_symmetry_equiv_pos_as_xyz
'x,y,z'
'-x,-y,-z'
'-y+1/2,x,z'
'y+1/2,-x,-z'
'-x+1/2,-y+1/2,z'
'x+1/2,y+1/2,-z'
'y,-x+1/2,z'
'-y,x+1/2,-z'
'x+1/2,-y,-z'
'-x+1/2,y,z'
'-y,-x,-z'
'y,x,z'
'-x,y+1/2,-z'
'x,-y+1/2,z'
'y+1/2,x+1/2,-z'
'-y+1/2,-x+1/2,z'
loop_
_atom_site_label
_atom_site_type_symbol
_atom_site_fract_x
_atom_site_fract_y
_atom_site_fract_z
Pr1 Pr 0.250 0.250 0.150
Sc1 Sc 0.250 0.750 0.500
Sn1 Sn 0.250 0.250 0.745
```

Results
distance to the lowest polymorph of the same formula: 0 meV per atom
formation energy: -0.6308 eV per atom


(2)
The following is a DFT calculation (GGA-PBE) of a relaxed Pr2ScSn crystal.

```
data_Pr2ScSn
_symmetry_space_group_name_H-M 'P 4/m m m'
_symmetry_Int_Tables_number 123
_symmetry_space_group_name_Hall '-P 4 2'
_cell_length_a 4.259
_cell_length_b 4.259
_cell_length_c 6.535
_cell_angle_alpha 90.00
_cell_angle_beta 90.00
_cell_angle_gamma 90.00
loop_
_atom_site_label
_atom_site_type_symbol
_atom_site_fract_x
_atom_site_fract_y
_atom_site_fract_z
Pr1 Pr 0.000 0.000 0.238
Sc1 Sc 0.500 0.500 0.500
Sn1 Sn 0.500 0.500 0.000
```

Results
distance to the lowest polymorph of the same formula: 42 meV per atom
formation energy: -0.3654 eV per atom


(3)
The following is a DFT calculation (GGA-PBE) of a relaxed Pr2ScSn crystal.

```
data_Pr2ScSn
_symmetry_space_group_name_H-M 'F m -3 m'
_symmetry_Int_Tables_number 225
_symmetry_space_group_name_Hall '-F 4 2 3'
_cell_length_a 7.759
_cell_length_b 7.759
_cell_length_c 7.759
_cell_angle_alpha 90.00
_cell_angle_beta 90.00
_cell_angle_gamma 90.00
loop_
_atom_site_label
_atom_site_type_symbol
_atom_site_fract_x
_atom_site_fract_y
_atom_site_fract_z
Pr1 Pr 0.250 0.250 0.250
Sc1 Sc 0.000 0.000 0.000
Sn1 Sn 0.000 0.000 0.500
```

Results
distance to the lowest polymorph of the same formula: 153 meV per atom
formation energy: -0.2548 eV per atom